(1)
A plane-wave DFT calculation with PBE was carried out for Ac3VN4 after structural relaxation.

Values from the calculation:
magnetic moment = 0.00 μB per atom
E above lowest polymorph = 77 meV per atom
crystal system = orthorhombic
formation energy from raw total energies = -0.9466 eV per atom
DOS(E_F) = 8.2 states/eV per cell

Structure (CIF):
```
data_Ac3VN4
_chemical_formula_sum 'Ac6 V2 N8'
_cell_length_a 9.194
_cell_length_b 5.812
_cell_length_c 5.650
_cell_angle_alpha 90.00
_cell_angle_beta 90.00
_cell_angle_gamma 90.00
_space_group_name_H-M_alt 'P m n 21'
_space_group_IT_number 31
loop_
_space_group_symop_operation_xyz
'x,y,z'
'-x+1/2,-y,z+1/2'
'-x,y,z'
'x+1/2,-y,z+1/2'
loop_
_atom_site_label
_atom_site_type_symbol
_atom_site_fract_x
_atom_site_fract_y
_atom_site_fract_z
Ac1 Ac 0.000 0.225 0.000
Ac2 Ac 0.248 0.269 0.491
V1 V 0.000 0.792 0.452
N1 N 0.000 0.080 0.577
N2 N 0.000 0.802 0.130
N3 N 0.221 0.726 0.484
```

---

(2)
A plane-wave DFT calculation with PBE was carried out for Ti2RuPt after structural relaxation.

Values from the calculation:
magnetic moment = 0.00 μB per atom
crystal system = tetragonal
ΔE_f = -2.99 eV/f.u.
DOS(E_F) = 5.0 states/eV per cell

Structure (CIF):
```
data_Ti2RuPt
_chemical_formula_sum 'Ti2 Ru1 Pt1'
_cell_length_a 4.188
_cell_length_b 4.188
_cell_length_c 3.473
_cell_angle_alpha 90.00
_cell_angle_beta 90.00
_cell_angle_gamma 90.00
_space_group_name_H-M_alt 'P 4/m m m'
_space_group_IT_number 123
_space_group_name_Hall '-P 4 2'
loop_
_atom_site_label
_atom_site_type_symbol
_atom_site_fract_x
_atom_site_fract_y
_atom_site_fract_z
Ti1 Ti 0.000 0.500 0.000
Ru1 Ru 0.000 0.000 0.500
Pt1 Pt 0.500 0.500 0.500
```

---

(3)
A plane-wave DFT calculation with PBE was carried out for Hf6ZrBi2 after structural relaxation.

Values from the calculation:
magnetic moment = 0.00 μB per atom
crystal system = monoclinic
ΔE_f = 0.23 eV/f.u.
DOS(E_F) = 15.1 states/eV per cell

Structure (CIF):
```
data_Hf6ZrBi2
_chemical_formula_sum 'Hf12 Zr2 Bi4'
_cell_length_a 15.116
_cell_length_b 3.165
_cell_length_c 10.773
_cell_angle_alpha 90.00
_cell_angle_beta 123.24
_cell_angle_gamma 90.00
_space_group_name_H-M_alt 'C 1 2/m 1'
_space_group_IT_number 12
loop_
_space_group_symop_operation_xyz
'x,y,z'
'-x,-y,-z'
'-x,y,-z'
'x,-y,z'
'x+1/2,y+1/2,z'
'-x+1/2,-y+1/2,-z'
'-x+1/2,y+1/2,-z'
'x+1/2,-y+1/2,z'
loop_
_atom_site_label
_atom_site_type_symbol
_atom_site_fract_x
_atom_site_fract_y
_atom_site_fract_z
Hf1 Hf 0.059 0.000 0.254
Hf2 Hf 0.114 0.500 0.062
Hf3 Hf 0.228 0.000 0.599
Zr1 Zr 0.000 0.000 0.500
Bi1 Bi 0.155 0.500 0.799
```

---

(4)
A plane-wave DFT calculation with PBE was carried out for Dy3Be2Co4 after structural relaxation.

Values from the calculation:
magnetic moment = 0.20 μB per atom
crystal system = hexagonal
ΔE_f = -1.17 eV/f.u.
DOS(E_F) = 14.5 states/eV per cell

Structure (CIF):
```
data_Dy3Be2Co4
_chemical_formula_sum 'Dy6 Be4 Co8'
_cell_length_a 3.8388
_cell_length_b 3.8388
_cell_length_c 23.5996
_cell_angle_alpha 90.00
_cell_angle_beta 90.00
_cell_angle_gamma 120.00
_space_group_name_H-M_alt 'P -6 m 2'
_space_group_IT_number 187
_space_group_name_Hall 'P -6 2'
loop_
_atom_site_label
_atom_site_type_symbol
_atom_site_fract_x
_atom_site_fract_y
_atom_site_fract_z
Dy1 Dy 0.0000 0.0000 0.0837
Dy2 Dy 0.0000 0.0000 0.2477
Dy3 Dy 0.0000 0.0000 0.4146
Be1 Be 0.3333 0.6667 0.5000
Be2 Be 0.6667 0.3333 0.1655
Be3 Be 0.6667 0.3333 0.5000
Co1 Co 0.3333 0.6667 0.0000
Co2 Co 0.3333 0.6667 0.1658
Co3 Co 0.3333 0.6667 0.3315
Co4 Co 0.6667 0.3333 0.0000
Co5 Co 0.6667 0.3333 0.3320
```

---

(5)
A plane-wave DFT calculation with PBE was carried out for PaTlCo4 after structural relaxation.

Values from the calculation:
magnetic moment = 0.29 μB per atom
crystal system = cubic
ΔE_f = -0.17 eV/f.u.
DOS(E_F) = 35.1 states/eV per cell

Structure (CIF):
```
data_PaTlCo4
_chemical_formula_sum 'Pa4 Tl4 Co16'
_cell_length_a 7.070
_cell_length_b 7.070
_cell_length_c 7.070
_cell_angle_alpha 90.00
_cell_angle_beta 90.00
_cell_angle_gamma 90.00
_space_group_name_H-M_alt 'F -4 3 m'
_space_group_IT_number 216
_space_group_name_Hall 'F -4 2 3'
loop_
_atom_site_label
_atom_site_type_symbol
_atom_site_fract_x
_atom_site_fract_y
_atom_site_fract_z
Pa1 Pa 0.000 0.000 0.000
Tl1 Tl 0.250 0.250 0.750
Co1 Co 0.124 0.124 0.376
```

---

(6)
A plane-wave DFT calculation with PBE was carried out for Pm3Al2Tl after structural relaxation.

Values from the calculation:
magnetic moment = 0.00 μB per atom
crystal system = tetragonal
ΔE_f = -2.23 eV/f.u.
DOS(E_F) = 3.1 states/eV per cell

Structure (CIF):
```
data_Pm3Al2Tl
_chemical_formula_sum 'Pm3 Al2 Tl1'
_cell_length_a 3.738
_cell_length_b 3.738
_cell_length_c 11.467
_cell_angle_alpha 90.00
_cell_angle_beta 90.00
_cell_angle_gamma 90.00
_space_group_name_H-M_alt 'P 4/m m m'
_space_group_IT_number 123
_space_group_name_Hall '-P 4 2'
loop_
_atom_site_label
_atom_site_type_symbol
_atom_site_fract_x
_atom_site_fract_y
_atom_site_fract_z
Pm1 Pm 0.000 0.000 0.000
Pm2 Pm 0.000 0.000 0.319
Al1 Al 0.500 0.500 0.160
Tl1 Tl 0.500 0.500 0.500
```

---

(7)
A plane-wave DFT calculation with PBE was carried out for Tm2TlPb after structural relaxation.

Values from the calculation:
magnetic moment = 0.00 μB per atom
crystal system = trigonal
ΔE_f = -1.07 eV/f.u.
DOS(E_F) = 7.7 states/eV per cell

Structure (CIF):
```
data_Tm2TlPb
_chemical_formula_sum 'Tm6 Tl3 Pb3'
_cell_length_a 3.7341
_cell_length_b 3.7341
_cell_length_c 28.4284
_cell_angle_alpha 90.00
_cell_angle_beta 90.00
_cell_angle_gamma 120.00
_space_group_name_H-M_alt 'R -3 m'
_space_group_IT_number 166
_space_group_name_Hall '-R 3 2"'
loop_
_atom_site_label
_atom_site_type_symbol
_atom_site_fract_x
_atom_site_fract_y
_atom_site_fract_z
Tm1 Tm 0.0000 0.0000 0.2493
Tl1 Tl 0.0000 0.0000 0.5000
Pb1 Pb 0.0000 0.0000 0.0000
```

---

(8)
A plane-wave DFT calculation with PBE was carried out for BaAgTe2 after structural relaxation.

Values from the calculation:
magnetic moment = 0.00 μB per atom
crystal system = monoclinic
formation energy from raw total energies = -0.5890 eV per atom
DOS(E_F) = 3.5 states/eV per cell

Structure (CIF):
```
data_BaAgTe2
_chemical_formula_sum 'Ba1 Ag1 Te2'
_cell_length_a 4.710
_cell_length_b 4.736
_cell_length_c 6.671
_cell_angle_alpha 90.00
_cell_angle_beta 99.48
_cell_angle_gamma 90.00
_space_group_name_H-M_alt 'P 1 2/m 1'
_space_group_IT_number 10
loop_
_space_group_symop_operation_xyz
'x,y,z'
'-x,-y,-z'
'-x,y,-z'
'x,-y,z'
loop_
_atom_site_label
_atom_site_type_symbol
_atom_site_fract_x
_atom_site_fract_y
_atom_site_fract_z
Ba1 Ba 0.000 0.000 0.000
Ag1 Ag 0.500 0.500 0.500
Te1 Te 0.000 0.000 0.500
Te2 Te 0.500 0.500 0.000
```